# Li3AgAu6 | the Alexandria database | PBE | optimized geometry
data_Li3AgAu6
_space_group_name_H-M_alt 'P 1 21/m 1'
_space_group_IT_number 11
_cell_length_a 7.553
_cell_length_b 4.769
_cell_length_c 9.850
_cell_angle_alpha 90.00
_cell_angle_beta 107.86
_cell_angle_gamma 90.00
loop_
_space_group_symop_operation_xyz
'x,y,z'
'-x,-y,-z'
'-x,y+1/2,-z'
'x,-y+1/2,z'
loop_
_atom_site_label
_atom_site_type_symbol
_atom_site_fract_x
_atom_site_fract_y
_atom_site_fract_z
Li1 Li 0.091 0.250 0.231
Li2 Li 0.301 0.250 0.026
Li3 Li 0.310 0.750 0.371
Ag1 Ag 0.101 0.750 0.567
Au1 Au 0.093 0.250 0.735
Au2 Au 0.100 0.750 0.069
Au3 Au 0.299 0.250 0.528
Au4 Au 0.302 0.750 0.870
Au5 Au 0.485 0.250 0.328
Au6 Au 0.494 0.750 0.166
# M_tot in μB/f.u.: 0.000
# Calculated total energy in eV for the cell shown: -63.72
# ΔH_f (0 K) in eV/atom: -0.360